Mg2TaAg (PBE, optimized geometry); total magnetic moment = 0.00 μB per atom; N(E_F) = 2.30 states/eV/cell; symmetry = Pmm2, No. 25; E_tot = -4.213 eV per atom; ΔH_f (0 K) = 0.26 eV per atom; relative energy among the computed polymorphs = 200.3 meV/atom
1.0
2.8802 0.0000 0.0000
0.0000 4.3181 0.0000
0.0000 0.0000 6.0989
Mg Ta Ag
2 1 1
Direct
0.0000 0.0000 0.0000 Mg
0.5000 0.5000 0.2623 Mg
0.0000 0.0000 0.5115 Ta
0.5000 0.5000 0.7537 Ag